The following is a PBE calculation of crystalline Rb2NpTlS4 at its relaxed geometry, from the Alexandria database.

a = 7.770 Å, b = 4.178 Å, c = 7.891 Å
α = 90.00°, β = 108.23°, γ = 90.00°
Sites, in units of the cell vectors:
Rb (0.000, 0.000, 0.000)
Rb (0.500, 0.500, 0.000)
Np (0.000, 0.500, 0.500)
Tl (0.500, 0.000, 0.500)
S (0.196, 0.000, 0.690)
S (0.207, 0.500, 0.309)
S (0.793, 0.500, 0.691)
S (0.804, 0.000, 0.310)

Properties
- crystal system = monoclinic
- density (Mg/m³) = 5.1
- raw total energy (eV per atom) = -5.2741
- ΔE_f (raw) (eV/atom) = -1.06



The following is a PBE calculation of crystalline LaRe2Pt at its relaxed geometry, from the Alexandria database.

a = 4.417 Å, b = 4.417 Å, c = 7.555 Å
α = 90.00°, β = 90.00°, γ = 90.00°
Sites, in units of the cell vectors:
La (0.000, 0.000, 0.000)
La (0.500, 0.500, 0.500)
Re (0.000, 0.000, 0.500)
Re (0.000, 0.500, 0.250)
Re (0.500, 0.000, 0.750)
Re (0.500, 0.500, 0.000)
Pt (0.000, 0.500, 0.750)
Pt (0.500, 0.000, 0.250)

Properties
- crystal system = tetragonal
- density (Mg/m³) = 15.9
- formation enthalpy at 0 K (eV/atom) = 0.407
- E above lowest polymorph (meV per atom) = 438
- raw total energy (eV per atom) = -8.5594



The following is a PBE calculation of crystalline Be3CdRu at its relaxed geometry, from the Alexandria database.

a = 4.214 Å, b = 4.214 Å, c = 4.214 Å
α = 90.00°, β = 90.00°, γ = 90.00°
Sites, in units of the cell vectors:
Be (0.000, 0.000, 0.500)
Be (0.000, 0.500, 0.000)
Be (0.500, 0.000, 0.000)
Cd (0.000, 0.000, 0.000)
Ru (0.500, 0.500, 0.500)

Properties
- crystal system = cubic
- density (Mg/m³) = 5.3
- formation enthalpy at 0 K (eV/atom) = 1.422
- E above lowest polymorph (meV per atom) = 884
- raw total energy (eV per atom) = -2.8518



The following is a PBE calculation of crystalline Ac2TbCuS5 at its relaxed geometry, from the Alexandria database.

a = 8.691 Å, b = 8.691 Å, c = 12.349 Å
α = 90.00°, β = 90.00°, γ = 152.90°
Sites, in units of the cell vectors:
Ac (0.118, 0.882, 0.500)
Ac (0.119, 0.881, 0.148)
Ac (0.881, 0.119, 0.648)
Ac (0.882, 0.118, 0.000)
Tb (0.180, 0.820, 0.829)
Tb (0.820, 0.180, 0.329)
Cu (0.447, 0.553, 0.232)
Cu (0.553, 0.447, 0.732)
S (0.021, 0.979, 0.818)
S (0.303, 0.697, 0.483)
S (0.311, 0.689, 0.173)
S (0.343, 0.657, 0.824)
S (0.496, 0.504, 0.562)
S (0.504, 0.496, 0.062)
S (0.657, 0.343, 0.324)
S (0.689, 0.311, 0.673)
S (0.697, 0.303, 0.983)
S (0.979, 0.021, 0.318)

Properties
- crystal system = orthorhombic
- density (Mg/m³) = 6.5
- raw total energy (eV per atom) = -6.0260
- ΔE_f (raw) (eV/atom) = -1.85



The following is a PBE calculation of crystalline TiTcHRu2 at its relaxed geometry, from the Alexandria database.

a = 3.924 Å, b = 3.924 Å, c = 3.916 Å
α = 90.00°, β = 90.00°, γ = 90.00°
Sites, in units of the cell vectors:
Ti (0.000, 0.000, 0.000)
Tc (0.500, 0.500, 0.000)
H (0.500, 0.500, 0.500)
Ru (0.000, 0.500, 0.500)
Ru (0.500, 0.000, 0.500)

Properties
- crystal system = tetragonal
- density (Mg/m³) = 9.6
- E above lowest polymorph (meV per atom) = 13
- raw total energy (eV per atom) = -8.1725



The following is a PBE calculation of crystalline Li2CaPm2Sn2 at its relaxed geometry, from the Alexandria database.

a = 9.717 Å, b = 9.717 Å, c = 9.717 Å
α = 28.96°, β = 28.96°, γ = 28.96°
Sites, in units of the cell vectors:
Li (0.098, 0.098, 0.098)
Li (0.902, 0.902, 0.902)
Ca (0.500, 0.500, 0.500)
Pm (0.371, 0.371, 0.371)
Pm (0.629, 0.629, 0.629)
Sn (0.241, 0.241, 0.241)
Sn (0.759, 0.759, 0.759)

Properties
- crystal system = trigonal
- density (Mg/m³) = 5.1
- formation enthalpy at 0 K (eV/atom) = -0.477
- raw total energy (eV per atom) = -3.8103